[1]
VASP calculation (PBE+U) on Ac3Co2AgO8 after structural relaxation.

a b c (Å): 5.6990 5.6990 7.4480
angles (deg): 90.00 90.00 120.00
Element x y z (fractional)
Ac  0.0000  0.0000  0.0000
Ac  0.3333  0.6667  0.6378
Ac  0.6667  0.3333  0.3622
Co  0.3333  0.6667  0.1820
Co  0.6667  0.3333  0.8180
Ag  0.0000  0.0000  0.5000
O  0.1664  0.3328  0.3040
O  0.1664  0.8336  0.3040
O  0.3328  0.1664  0.6960
O  0.3333  0.6667  0.9367
O  0.6667  0.3333  0.0633
O  0.6672  0.8336  0.3040
O  0.8336  0.1664  0.6960
O  0.8336  0.6672  0.6960

## Properties
raw total energy: -92.21 eV for the cell shown
DOS at the Fermi energy: 3.3 states/eV/f.u.
V: 15.0 A^3/atom
mass density: 8.202 g cm⁻³

[2]
VASP calculation (PBE+U) on Ac3CoAg2O9 after structural relaxation.

a b c (Å): 5.7802 5.7802 7.0988
angles (deg): 90.00 90.00 120.00
Element x y z (fractional)
Ac  0.0000  0.0000  0.0000
Ac  0.3333  0.6667  0.6625
Ac  0.6667  0.3333  0.3375
Co  0.0000  0.0000  0.5000
Ag  0.3333  0.6667  0.1748
Ag  0.6667  0.3333  0.8252
O  0.0000  0.5000  0.0000
O  0.1593  0.3186  0.3464
O  0.1593  0.8407  0.3464
O  0.3186  0.1593  0.6536
O  0.5000  0.0000  0.0000
O  0.5000  0.5000  0.0000
O  0.6814  0.8407  0.3464
O  0.8407  0.1593  0.6536
O  0.8407  0.6814  0.6536

## Properties
raw total energy: -94.41 eV for the cell shown
DOS at the Fermi energy: 3.2 states/eV/f.u.
V: 13.7 A^3/atom
mass density: 8.890 g cm⁻³

[3]
VASP calculation (PBE+U) on AcCoAgO4 after structural relaxation.

a b c (Å): 6.3181 5.3718 8.3574
angles (deg): 90.00 111.72 90.00
Element x y z (fractional)
Ac  0.2142  0.2500  0.4375
Ac  0.7858  0.7500  0.5625
Co  0.3686  0.7500  0.7119
Co  0.6314  0.2500  0.2881
Ag  0.2255  0.2500  0.9105
Ag  0.7745  0.7500  0.0895
O  0.1678  0.0024  0.6953
O  0.1678  0.4976  0.6953
O  0.3269  0.2500  0.1771
O  0.3622  0.7500  0.4861
O  0.6378  0.2500  0.5139
O  0.6731  0.7500  0.8229
O  0.8322  0.5024  0.3047
O  0.8322  0.9976  0.3047

## Properties
raw total energy: -84.76 eV for the cell shown
DOS at the Fermi energy: 1.5 states/eV/f.u.
V: 18.8 A^3/atom
mass density: 5.770 g cm⁻³

[4]
VASP calculation (PBE+U) on Ac5CoAg2O after structural relaxation.

a b c (Å): 9.7848 9.7848 14.1830
angles (deg): 90.00 90.00 155.16
Element x y z (fractional)
Ac  0.9996  0.0004  0.0000
Ac  0.0004  0.9996  0.5000
Ac  0.1478  0.8522  0.7406
Ac  0.1948  0.8052  0.1091
Ac  0.2064  0.7936  0.3875
Ac  0.4498  0.5502  0.7348
Ac  0.5502  0.4498  0.2348
Ac  0.7936  0.2064  0.8875
Ac  0.8052  0.1948  0.6091
Ac  0.8522  0.1478  0.2406
Co  0.2929  0.7071  0.7480
Co  0.7071  0.2929  0.2480
Ag  0.3737  0.6263  0.0558
Ag  0.3798  0.6202  0.4247
Ag  0.6202  0.3798  0.9247
Ag  0.6263  0.3737  0.5558
O  0.0603  0.9397  0.1491
O  0.9397  0.0603  0.6491

## Properties
raw total energy: -83.68 eV for the cell shown
DOS at the Fermi energy: 8.1 states/eV/f.u.
V: 31.7 A^3/atom
mass density: 8.299 g cm⁻³

[5]
VASP calculation (PBE+U) on Ac2CoAgO6 after structural relaxation.

a b c (Å): 5.7366 5.7366 4.2092
angles (deg): 90.00 90.00 90.00
Element x y z (fractional)
Ac  0.0000  0.5000  0.0000
Ac  0.5000  0.0000  0.0000
Co  0.0000  0.0000  0.5229
Ag  0.5000  0.5000  0.5578
O  0.0000  0.0000  0.0917
O  0.2343  0.2343  0.6059
O  0.2343  0.7657  0.6059
O  0.5000  0.5000  0.0618
O  0.7657  0.2343  0.6059
O  0.7657  0.7657  0.6059

## Properties
raw total energy: -64.64 eV for the cell shown
DOS at the Fermi energy: 1.3 states/eV/f.u.
V: 13.9 A^3/atom
mass density: 8.593 g cm⁻³

[6]
VASP calculation (PBE+U) on Ac2CoAgO5 after structural relaxation.

a b c (Å): 7.2351 7.2351 5.5730
angles (deg): 90.00 90.00 90.00
Element x y z (fractional)
Ac  0.1808  0.3192  0.0000
Ac  0.3192  0.8192  0.0000
Ac  0.6808  0.1808  0.0000
Ac  0.8192  0.6808  0.0000
Co  0.0000  0.5000  0.5000
Co  0.5000  0.0000  0.5000
Ag  0.0000  0.0000  0.5000
Ag  0.5000  0.5000  0.5000
O  0.0000  0.0000  0.0000
O  0.1253  0.6253  0.2642
O  0.1253  0.6253  0.7358
O  0.3747  0.1253  0.2642
O  0.3747  0.1253  0.7358
O  0.5000  0.5000  0.0000
O  0.6253  0.8747  0.2642
O  0.6253  0.8747  0.7358
O  0.8747  0.3747  0.2642
O  0.8747  0.3747  0.7358

## Properties
raw total energy: -118.18 eV for the cell shown
V: 16.2 A^3/atom
mass density: 7.978 g cm⁻³

[7]
VASP calculation (PBE+U) on Ac3Co2AgO9 after structural relaxation.

a b c (Å): 5.6982 5.6982 6.9984
angles (deg): 90.00 90.00 120.00
Element x y z (fractional)
Ac  0.0000  0.0000  0.0000
Ac  0.3333  0.6667  0.6826
Ac  0.6667  0.3333  0.3174
Co  0.3333  0.6667  0.1650
Co  0.6667  0.3333  0.8350
Ag  0.0000  0.0000  0.5000
O  0.0000  0.5000  0.0000
O  0.1725  0.3451  0.3154
O  0.1725  0.8275  0.3154
O  0.3451  0.1725  0.6846
O  0.5000  0.0000  0.0000
O  0.5000  0.5000  0.0000
O  0.6549  0.8275  0.3154
O  0.8275  0.1725  0.6846
O  0.8275  0.6549  0.6846

## Properties
raw total energy: -99.77 eV for the cell shown
DOS at the Fermi energy: 0.9 states/eV/f.u.
V: 13.1 A^3/atom
mass density: 8.866 g cm⁻³

[8]
VASP calculation (PBE+U) on Ac4Co3AgO12 after structural relaxation.

a b c (Å): 6.9584 6.9584 6.9584
angles (deg): 109.47 109.47 109.47
Element x y z (fractional)
Ac  0.0000  0.0000  0.5000
Ac  0.0000  0.5000  0.0000
Ac  0.5000  0.0000  0.0000
Ac  0.5000  0.5000  0.5000
Co  0.0000  0.5000  0.5000
Co  0.5000  0.0000  0.5000
Co  0.5000  0.5000  0.0000
Ag  0.0000  0.0000  0.0000
O  0.0000  0.2663  0.2663
O  0.0000  0.7337  0.7337
O  0.2500  0.5000  0.7500
O  0.2500  0.7500  0.5000
O  0.2663  0.0000  0.2663
O  0.2663  0.2663  0.0000
O  0.5000  0.2500  0.7500
O  0.5000  0.7500  0.2500
O  0.7337  0.0000  0.7337
O  0.7337  0.7337  0.0000
O  0.7500  0.2500  0.5000
O  0.7500  0.5000  0.2500

## Properties
raw total energy: -134.66 eV for the cell shown
DOS at the Fermi energy: 1.8 states/eV/f.u.
V: 13.0 A^3/atom
mass density: 8.865 g cm⁻³

Q: Among the records above, which one has the lowest raw total energy?
A: Ac4Co3AgO12

Q: What is the formula in the third record?
A: AcCoAgO4